Entry from OQMD via LeMat-Bulk: a relaxed RbNbCu crystal (PBE).

Values from the calculation:
Relative energy among the computed polymorphs: 0.0 meV per atom
Crystal system: cubic

Unit cell a=7.1442 b=7.1442 c=7.1442 alpha=90.00 beta=90.00 gamma=90.00
Space group F-43m (No. 216)
Unique sites:
Rb: 0.0000 0.0000 0.0000 (multiplicity 4)
Nb: 0.0000 0.0000 0.5000 (multiplicity 4)
Cu: 0.2500 0.2500 0.7500 (multiplicity 4)

***

Entry from OQMD via LeMat-Bulk: a relaxed Nd2GdTl2Zn3Cd crystal (PBE).

Values from the calculation:
DFT total energy: -2.929 eV/atom
Crystal system: orthorhombic

Unit cell a=4.6147 b=12.7469 c=7.4369 alpha=90.00 beta=90.00 gamma=90.00
Space group Amm2 (No. 38)
Unique sites:
Nd: 0.0000 0.2110 0.0000 (multiplicity 4)
Gd: 0.0000 0.0000 0.6341 (multiplicity 2)
Tl: 0.5000 0.1640 0.7110 (multiplicity 4)
Zn: 0.5000 0.0000 0.9841 (multiplicity 2)
Zn: 0.5000 0.1151 0.3279 (multiplicity 4)
Cd: 0.0000 0.0000 0.2188 (multiplicity 2)

***

Entry from OQMD via LeMat-Bulk: a relaxed ErGa2O4 crystal (PBE).

Values from the calculation:
DFT total energy: -6.415 eV/atom
Crystal system: cubic

Unit cell a=8.9012 b=8.9012 c=8.9012 alpha=90.00 beta=90.00 gamma=90.00
Space group Fd-3m (No. 227, origin choice 2)
Unique sites:
Er: 0.1250 0.1250 0.1250 (multiplicity 8)
Ga: 0.0000 0.0000 0.5000 (multiplicity 16)
O: 0.0138 0.0138 0.7362 (multiplicity 32)

***

Entry from OQMD via LeMat-Bulk: a relaxed NdYGa4Ir2 crystal (PBE).

Values from the calculation:
DFT total energy: -5.852 eV/atom
Crystal system: monoclinic

Unit cell a=4.2258 b=7.0953 c=5.5995 alpha=90.00 beta=111.77 gamma=90.00
Space group Pm (No. 6)
Unique sites:
Nd: 0.0000 0.0000 0.0000 (multiplicity 1)
Y: 0.1415 0.5000 0.2827 (multiplicity 1)
Ga: 0.4234 0.3065 0.8439 (multiplicity 2)
Ga: 0.7168 0.1980 0.4362 (multiplicity 2)
Ir: 0.2811 0.0000 0.5662 (multiplicity 1)
Ir: 0.8606 0.5000 0.7168 (multiplicity 1)